Record 1
Crystalline TbPmDy3Er at its relaxed geometry, computed with PBE.

Calculated values
- Electronic total energy: -4.497 eV/atom
- Energy of formation: 0.77 eV per formula unit

a b c (Å): 5.756 11.574 11.509
angles (deg): 90.00 90.00 90.00
Space group Cmcm (No. 63)
Unique sites:
Tb: 0.000 0.000 0.000 x4
Pm: 0.000 0.473 0.250 x4
Dy: 0.000 0.141 0.750 x4
Dy: 0.000 0.326 0.528 x8
Er: 0.000 0.171 0.250 x4


Record 2
Crystalline TbPmDy2Er2 at its relaxed geometry, computed with PBE.

Calculated values
- Electronic total energy: -4.339 eV/atom
- Energy of formation: 1.68 eV per formula unit

a b c (Å): 6.534 17.720 3.382
angles (deg): 90.00 90.00 90.00
Space group Pnnm (No. 58)
Unique sites:
Tb: 0.000 0.000 0.000 x2
Pm: 0.000 0.500 0.000 x2
Dy: 0.226 0.315 0.000 x4
Er: 0.224 0.148 0.500 x4


Record 3
Crystalline TbPmDy2Er at its relaxed geometry, computed with PBE.

Calculated values
- Electronic total energy: -4.234 eV/atom
- Energy of formation: 1.98 eV per formula unit

a b c (Å): 8.384 11.450 7.182
angles (deg): 90.00 90.00 90.00
Space group Cmcm (No. 63)
Unique sites:
Tb: 0.000 0.005 0.250 x4
Pm: 0.000 0.274 0.250 x4
Dy: 0.190 0.500 0.000 x8
Er: 0.000 0.275 0.750 x4


Which of these has the lowest electronic total energy? TbPmDy3Er


Which value of electronic total energy does entry 1 give? -4.497 eV/atom


Please write out number 2 again, unchanged.
Crystalline TbPmDy2Er2 at its relaxed geometry, computed with PBE.

Calculated values
- Electronic total energy: -4.339 eV/atom
- Energy of formation: 1.68 eV per formula unit

a b c (Å): 6.534 17.720 3.382
angles (deg): 90.00 90.00 90.00
Space group Pnnm (No. 58)
Unique sites:
Tb: 0.000 0.000 0.000 x2
Pm: 0.000 0.500 0.000 x2
Dy: 0.226 0.315 0.000 x4
Er: 0.224 0.148 0.500 x4